The following is a PBE with a Hubbard U calculation of VOsO2F after structural relaxation, from the Alexandria database.

Values from the calculation:
energy	-32.155	eV for the cell shown
V	82.28	Å³/cell
mass density	5.9	g/cm3

Lattice parameters (Å, degrees): 3.688 3.688 6.050 90.00 90.00 90.00
Site moments in Bohr magnetons follow the coordinates.
Element x y z (fractional)
F  0.000  0.000  0.500  0.00
Os  0.000  0.000  0.000  0.00
O  0.000  0.500  0.000  0.01
O  0.500  0.000  0.000  0.01
V  0.500  0.500  0.500  1.26